[1]
YRe2H: relaxed, PBE.

abc: 5.6159 5.6159 5.6071
angles: 59.95 59.95 90.00
Atoms (fractional coordinates):
Y 0.0000 0.0000 0.0000
Y 0.7500 0.2500 0.5000
Re 0.3749 0.1250 0.2500
Re 0.3751 0.6250 0.2500
Re 0.3750 0.6251 0.7500
Re 0.8750 0.6249 0.7500
H 0.5000 0.5000 0.0000
H 0.2500 0.7500 0.5000

ΔE to the lowest computed polymorph: 0.000 eV/atom
uncorrected energy: -8.505 eV/atom

***

[2]
YReH2: relaxed, PBE.

abc: 4.0815 4.0815 4.0815
angles: 60.00 60.00 60.00
Each line ends with the local moment (μB).
Atoms (fractional coordinates):
Y 0.0000 0.0000 0.0000  -0.01
Re 0.5000 0.5000 0.5000  0.10
H 0.2500 0.2500 0.2500  0.00
H 0.7500 0.7500 0.7500  0.00

ΔE to the lowest computed polymorph: 0.581 eV/atom
uncorrected energy: -5.779 eV/atom

***

[3]
Y2ReH: relaxed, PBE.

abc: 3.0709 3.0709 8.9232
angles: 80.09 80.09 60.00
Atoms (fractional coordinates):
Y 0.1056 0.1056 0.6832
Y 0.8944 0.8944 0.3168
Re 0.0000 0.0000 0.0000
H 0.5000 0.5000 0.5000

ΔE to the lowest computed polymorph: 0.202 eV/atom
uncorrected energy: -6.589 eV/atom

***

[4]
YReH: relaxed, PBE.

abc: 4.1799 4.1799 11.9092
angles: 134.63 134.63 59.92
Atoms (fractional coordinates):
Y 0.6174 0.6174 0.7128
Y 0.3826 0.3826 0.2872
Re 0.7329 0.7329 0.0497
Re 0.2671 0.2671 0.9503
H 0.9204 0.9204 0.6902
H 0.0796 0.0796 0.3098

uncorrected energy: -7.563 eV/atom

***

[5]
Y2ZnReH: relaxed, PBE.

abc: 5.3828 4.5532 5.3828
angles: 90.00 90.00 90.00
Each line ends with the local moment (μB).
Atoms (fractional coordinates):
Y 0.0000 0.0000 0.5000  -0.06
Y 0.5000 0.0000 0.0000  -0.05
Re 0.0000 0.5000 0.0000  0.86
Zn 0.0000 0.0000 0.0000  0.01
H 0.5000 0.5000 0.5000  0.03

uncorrected energy: -4.782 eV/atom

***

[6]
Zn2ReH: relaxed, PBE.

abc: 6.6623 6.6623 5.1723
angles: 49.91 49.91 90.00
Atoms (fractional coordinates):
Re 0.0000 0.0000 0.0000
Re 0.7500 0.2500 0.5000
Zn 0.5431 0.1250 0.2500
Zn 0.2069 0.6250 0.2500
Zn 0.3750 0.4569 0.7500
Zn 0.8750 0.7931 0.7500
H 0.5000 0.5000 0.0000
H 0.2500 0.7500 0.5000

ΔE to the lowest computed polymorph: 0.000 eV/atom
uncorrected energy: -3.983 eV/atom

***

[7]
ZnReH2: relaxed, PBE.

abc: 4.2553 4.2553 5.0651
angles: 65.16 65.16 90.00
Atoms (fractional coordinates):
Re 0.0000 0.0000 0.0000
Re 0.7500 0.2500 0.5000
Zn 0.5000 0.5000 0.0000
Zn 0.2500 0.7500 0.5000
H 0.6380 0.1250 0.2500
H 0.1120 0.6250 0.2500
H 0.3750 0.3620 0.7500
H 0.8750 0.8880 0.7500

ΔE to the lowest computed polymorph: 0.000 eV/atom
uncorrected energy: -4.611 eV/atom

***

[8]
Zn2ReH: relaxed, PBE.

abc: 4.2584 4.2584 4.2584
angles: 60.00 60.00 60.00
Each line ends with the local moment (μB).
Atoms (fractional coordinates):
Re 0.5000 0.5000 0.5000  1.63
Zn 0.2500 0.2500 0.2500  0.01
Zn 0.7500 0.7500 0.7500  0.01
H 0.0000 0.0000 0.0000  0.10

ΔE to the lowest computed polymorph: 0.575 eV/atom
uncorrected energy: -3.408 eV/atom

***

[9]
Zn3ReH: relaxed, PBE.

abc: 3.9039 3.9039 3.9039
angles: 90.00 90.00 90.00
Atoms (fractional coordinates):
Re 0.5000 0.5000 0.5000
Zn 0.0000 0.5000 0.0000
Zn 0.0000 0.0000 0.5000
Zn 0.5000 0.0000 0.0000
H 0.0000 0.0000 0.0000

ΔE to the lowest computed polymorph: 0.000 eV/atom
uncorrected energy: -3.504 eV/atom

***

[10]
Zn3ReH: relaxed, PBE.

abc: 4.9733 4.9733 4.9733
angles: 90.00 90.00 90.00
Each line ends with the local moment (μB).
Atoms (fractional coordinates):
Re 0.0000 0.0000 0.0000  1.65
Zn 0.0000 0.5000 0.0000  0.04
Zn 0.0000 0.0000 0.5000  0.05
Zn 0.5000 0.0000 0.0000  0.05
H 0.5000 0.5000 0.5000  0.33

ΔE to the lowest computed polymorph: 0.964 eV/atom
uncorrected energy: -2.540 eV/atom

***

[11]
ZnReH3: relaxed, PBE.

abc: 3.4726 3.4726 3.4726
angles: 90.00 90.00 90.00
Atoms (fractional coordinates):
Re 0.0000 0.0000 0.0000
Zn 0.5000 0.5000 0.5000
H 0.0000 0.5000 0.0000
H 0.0000 0.0000 0.5000
H 0.5000 0.0000 0.0000

ΔE to the lowest computed polymorph: 0.000 eV/atom
uncorrected energy: -4.324 eV/atom

***

[12]
ZnReH2: relaxed, PBE.

abc: 3.6814 3.6814 3.6814
angles: 60.00 60.00 60.00
Each line ends with the local moment (μB).
Atoms (fractional coordinates):
Re 0.5000 0.5000 0.5000  0.82
Zn 0.0000 0.0000 0.0000  -0.01
H 0.2500 0.2500 0.2500  -0.01
H 0.7500 0.7500 0.7500  -0.01

ΔE to the lowest computed polymorph: 0.498 eV/atom
uncorrected energy: -4.113 eV/atom